*P*
# PBE SrNb3I, relaxed
data_SrNb3I
_chemical_formula_sum 'Sr1 Nb3 I1'
_symmetry_space_group_name_H-M 'P m -3 m'
_symmetry_Int_Tables_number 221
_symmetry_space_group_name_Hall '-P 4 2 3'
_cell_length_a 5.163
_cell_length_b 5.163
_cell_length_c 5.163
_cell_angle_alpha 90.00
_cell_angle_beta 90.00
_cell_angle_gamma 90.00
loop_
_atom_site_label
_atom_site_fract_x
_atom_site_fract_y
_atom_site_fract_z
Sr1 0.000 0.000 0.000
Nb1 0.000 0.500 0.500
I1 0.500 0.500 0.500
# Spin magnetization, μB per cell: 1.96
# Calculated volume, Å³ per cell: 137.62

*Q*
# PBE SrNb3I, relaxed
data_SrNb3I
_chemical_formula_sum 'Sr1 Nb3 I1'
_symmetry_space_group_name_H-M 'P m -3 m'
_symmetry_Int_Tables_number 221
_symmetry_space_group_name_Hall '-P 4 2 3'
_cell_length_a 5.076
_cell_length_b 5.076
_cell_length_c 5.076
_cell_angle_alpha 90.00
_cell_angle_beta 90.00
_cell_angle_gamma 90.00
loop_
_atom_site_label
_atom_site_fract_x
_atom_site_fract_y
_atom_site_fract_z
Sr1 0.000 0.000 0.000
Nb1 0.000 0.000 0.500
I1 0.500 0.500 0.500
# Spin magnetization, μB per cell: 0.00
# Calculated volume, Å³ per cell: 130.76

*P* takes first place; second place is 1.253 eV/atom up.

*P*
# PBE SrNb2I, relaxed
data_SrNb2I
_chemical_formula_sum 'Sr4 Nb8 I4'
_symmetry_space_group_name_H-M 'I -4 2 d'
_symmetry_Int_Tables_number 122
_symmetry_space_group_name_Hall 'I -4 2bw'
_cell_length_a 4.657
_cell_length_b 4.657
_cell_length_c 21.062
_cell_angle_alpha 90.00
_cell_angle_beta 90.00
_cell_angle_gamma 90.00
loop_
_atom_site_label
_atom_site_fract_x
_atom_site_fract_y
_atom_site_fract_z
Sr1 0.000 0.000 0.000
Nb1 0.102 0.250 0.625
I1 0.000 0.000 0.500
# Spin magnetization, μB per cell: 0.00
# Calculated volume, Å³ per cell: 456.82

*Q*
# PBE SrNb2I, relaxed
data_SrNb2I
_chemical_formula_sum 'Sr4 Nb8 I4'
_symmetry_space_group_name_H-M 'F m -3 m'
_symmetry_Int_Tables_number 225
_symmetry_space_group_name_Hall '-F 4 2 3'
_cell_length_a 7.232
_cell_length_b 7.232
_cell_length_c 7.232
_cell_angle_alpha 90.00
_cell_angle_beta 90.00
_cell_angle_gamma 90.00
loop_
_atom_site_label
_atom_site_fract_x
_atom_site_fract_y
_atom_site_fract_z
Sr1 0.000 0.000 0.000
Nb1 0.250 0.250 0.250
I1 0.000 0.000 0.500
# Spin magnetization, μB per cell: 14.89
# Calculated volume, Å³ per cell: 378.24

*P* takes first place; second place is 0.481 eV/atom up.

*P*
# PBE SrNbI2, relaxed
data_SrNbI2
_chemical_formula_sum 'Sr4 Nb4 I8'
_symmetry_space_group_name_H-M 'F m -3 m'
_symmetry_Int_Tables_number 225
_symmetry_space_group_name_Hall '-F 4 2 3'
_cell_length_a 7.572
_cell_length_b 7.572
_cell_length_c 7.572
_cell_angle_alpha 90.00
_cell_angle_beta 90.00
_cell_angle_gamma 90.00
loop_
_atom_site_label
_atom_site_fract_x
_atom_site_fract_y
_atom_site_fract_z
Sr1 0.000 0.000 0.000
Nb1 0.000 0.000 0.500
I1 0.250 0.250 0.250
# Spin magnetization, μB per cell: 4.00
# Calculated volume, Å³ per cell: 434.14

*Q*
# PBE SrNbI2, relaxed
data_SrNbI2
_chemical_formula_sum 'Sr4 Nb4 I8'
_symmetry_space_group_name_H-M 'I -4 2 d'
_symmetry_Int_Tables_number 122
_symmetry_space_group_name_Hall 'I -4 2bw'
_cell_length_a 5.769
_cell_length_b 5.769
_cell_length_c 18.807
_cell_angle_alpha 90.00
_cell_angle_beta 90.00
_cell_angle_gamma 90.00
loop_
_atom_site_label
_atom_site_fract_x
_atom_site_fract_y
_atom_site_fract_z
Sr1 0.000 0.000 0.000
Nb1 0.000 0.000 0.500
I1 0.212 0.250 0.625
# Spin magnetization, μB per cell: 18.82
# Calculated volume, Å³ per cell: 625.96

*Q* takes first place; second place is 0.019 eV/atom up.

*P*
# PBE SrNbTeI2, relaxed
data_SrNbTeI2
_chemical_formula_sum 'Sr1 Nb1 Te1 I2'
_symmetry_space_group_name_H-M 'P 4/m m m'
_symmetry_Int_Tables_number 123
_symmetry_space_group_name_Hall '-P 4 2'
_cell_length_a 6.099
_cell_length_b 6.099
_cell_length_c 6.438
_cell_angle_alpha 90.00
_cell_angle_beta 90.00
_cell_angle_gamma 90.00
loop_
_atom_site_label
_atom_site_fract_x
_atom_site_fract_y
_atom_site_fract_z
Sr1 0.000 0.000 0.000
Nb1 0.500 0.500 0.500
Te1 0.000 0.000 0.500
I1 0.000 0.500 0.000
# Spin magnetization, μB per cell: 2.98
# Calculated volume, Å³ per cell: 239.47

*Q*
# PBE SrNbTeI2, relaxed
data_SrNbTeI2
_chemical_formula_sum 'Sr1 Nb1 Te1 I2'
_symmetry_space_group_name_H-M 'P 4/m m m'
_symmetry_Int_Tables_number 123
_symmetry_space_group_name_Hall '-P 4 2'
_cell_length_a 5.717
_cell_length_b 5.717
_cell_length_c 5.643
_cell_angle_alpha 90.00
_cell_angle_beta 90.00
_cell_angle_gamma 90.00
loop_
_atom_site_label
_atom_site_fract_x
_atom_site_fract_y
_atom_site_fract_z
Sr1 0.000 0.000 0.000
Nb1 0.500 0.500 0.500
Te1 0.500 0.500 0.000
I1 0.000 0.500 0.500
# Spin magnetization, μB per cell: 2.88
# Calculated volume, Å³ per cell: 184.43

*Q* takes first place; second place is 0.805 eV/atom up.